(1)
Rb2ZnGa: relaxed, PBE-GGA.

Summary:
DOS at the Fermi energy: 6.4 states/eV/cell
Energy relative to the elements: 0.367 eV per atom
Space group: No. 122
Energy above the lowest structure with this stoichiometry: 0.22 eV per formula unit
Final energy: -1.19 eV/atom
Total magnetization: 0.000 μB per atom

The structure in CIF format:
```
data_Rb2ZnGa
_chemical_formula_sum 'Rb4 Zn2 Ga2'
_cell_length_a 9.8734
_cell_length_b 9.8734
_cell_length_c 7.7911
_cell_angle_alpha 50.68
_cell_angle_beta 50.68
_cell_angle_gamma 90.00
_space_group_name_H-M_alt 'P 1'
_space_group_IT_number 1
_space_group_name_Hall 'P 1'
loop_
_atom_site_label
_atom_site_type_symbol
_atom_site_fract_x
_atom_site_fract_y
_atom_site_fract_z
_atom_site_occupancy
Rb1 Rb 0.3750 0.3873 0.7500 1
Rb2 Rb 0.8750 0.8627 0.7500 1
Rb3 Rb 0.1373 0.6250 0.2500 1
Rb4 Rb 0.6127 0.1250 0.2500 1
Zn1 Zn 0.5000 0.5000 0.0000 1
Zn2 Zn 0.2500 0.7500 0.5000 1
Ga1 Ga 0.0000 0.0000 0.0000 1
Ga2 Ga 0.7500 0.2500 0.5000 1
```

(2)
RbZn6Ga8: relaxed, PBE-GGA.

Summary:
DOS at the Fermi energy: 6.3 states/eV/cell
Energy relative to the elements: 0.026 eV per atom
Space group: No. 148
Final energy: -2.16 eV/atom
Total magnetization: 0.000 μB per atom

The structure in CIF format:
```
data_RbZn6Ga8
_chemical_formula_sum 'Rb1 Zn6 Ga8'
_cell_length_a 6.8643
_cell_length_b 6.8643
_cell_length_c 6.8643
_cell_angle_alpha 74.21
_cell_angle_beta 74.21
_cell_angle_gamma 74.21
_space_group_name_H-M_alt 'P 1'
_space_group_IT_number 1
_space_group_name_Hall 'P 1'
loop_
_atom_site_label
_atom_site_type_symbol
_atom_site_fract_x
_atom_site_fract_y
_atom_site_fract_z
_atom_site_occupancy
Ga1 Ga 0.4842 0.1363 0.7969 1
Ga2 Ga 0.2031 0.5158 0.8637 1
Ga3 Ga 0.7969 0.4842 0.1363 1
Ga4 Ga 0.1363 0.7969 0.4842 1
Ga5 Ga 0.7785 0.7785 0.7785 1
Ga6 Ga 0.2215 0.2215 0.2215 1
Ga7 Ga 0.8637 0.2031 0.5158 1
Ga8 Ga 0.5158 0.8637 0.2031 1
Zn1 Zn 0.4380 0.8234 0.6351 1
Zn2 Zn 0.6351 0.4380 0.8234 1
Zn3 Zn 0.3649 0.5620 0.1766 1
Zn4 Zn 0.1766 0.3649 0.5620 1
Zn5 Zn 0.5620 0.1766 0.3649 1
Zn6 Zn 0.8234 0.6351 0.4380 1
Rb1 Rb 0.0000 0.0000 0.0000 1
```

(3)
RbZnGa: relaxed, PBE-GGA.

Summary:
DOS at the Fermi energy: 2.6 states/eV/cell
Energy relative to the elements: 0.078 eV per atom
Space group: No. 187
Energy above the lowest structure with this stoichiometry: 0.21 eV per formula unit
Final energy: -1.68 eV/atom
Total magnetization: 0.000 μB per atom

The structure in CIF format:
```
data_RbZnGa
_chemical_formula_sum 'Rb1 Zn1 Ga1'
_cell_length_a 5.8423
_cell_length_b 4.3956
_cell_length_c 4.3956
_cell_angle_alpha 120.00
_cell_angle_beta 90.00
_cell_angle_gamma 90.00
_space_group_name_H-M_alt 'P 1'
_space_group_IT_number 1
_space_group_name_Hall 'P 1'
loop_
_atom_site_label
_atom_site_type_symbol
_atom_site_fract_x
_atom_site_fract_y
_atom_site_fract_z
_atom_site_occupancy
Ga1 Ga 0.1667 0.6667 0.3333 1
Zn1 Zn 0.1666 0.0000 0.0000 1
Rb1 Rb 0.6667 0.3333 0.6667 1
```

(4)
Rb3Zn2Ga4: relaxed, PBE-GGA.

Summary:
DOS at the Fermi energy: 1.9 states/eV/cell
Energy relative to the elements: -0.018 eV per atom
Space group: No. 2
Final energy: -1.97 eV/atom
Total magnetization: 0.000 μB per atom

The structure in CIF format:
```
data_Rb3Zn2Ga4
_chemical_formula_sum 'Rb3 Zn2 Ga4'
_cell_length_a 4.4742
_cell_length_b 7.0517
_cell_length_c 9.6838
_cell_angle_alpha 72.12
_cell_angle_beta 76.68
_cell_angle_gamma 71.50
_space_group_name_H-M_alt 'P 1'
_space_group_IT_number 1
_space_group_name_Hall 'P 1'
loop_
_atom_site_label
_atom_site_type_symbol
_atom_site_fract_x
_atom_site_fract_y
_atom_site_fract_z
_atom_site_occupancy
Ga1 Ga 0.9058 0.5556 0.6298 1
Ga2 Ga 0.2583 0.4039 0.0820 1
Ga3 Ga 0.0942 0.4444 0.3702 1
Ga4 Ga 0.7417 0.5961 0.9180 1
Zn1 Zn 0.6711 0.4316 0.2288 1
Zn2 Zn 0.3289 0.5684 0.7712 1
Rb1 Rb 0.0000 0.0000 0.0000 1
Rb2 Rb 0.3758 0.8800 0.3672 1
Rb3 Rb 0.6242 0.1200 0.6328 1
```